Entry 1:
Material: NdTm2Mg3Tl2Cd
Method: DFT, PBE
State: relaxed

Unit cell a=4.6399 b=13.2208 c=7.4763 alpha=90.00 beta=90.00 gamma=90.00
Space group Amm2 (No. 38)
One atom of each set of equivalent atoms:
Nd (0.0000, 0.0000, 0.0000)
Tm (0.0000, 0.2131, 0.6385)
Mg (0.5000, 0.0000, 0.6680)
Mg (0.5000, 0.1193, 0.3083)
Tl (0.5000, 0.1705, 0.9252)
Cd (0.0000, 0.0000, 0.4366)

Calculated values
calculated volume	25.48	A^3/atom
spin magnetization	0.0	μB/cell
E_tot	-53.54	eV/cell

Entry 2:
Material: Nd2TmMg3Tl2Cd
Method: DFT, PBE
State: relaxed

Unit cell a=4.6939 b=13.0787 c=7.7087 alpha=90.00 beta=90.00 gamma=90.00
Space group Amm2 (No. 38)
One atom of each set of equivalent atoms:
Nd (0.0000, 0.2119, 0.0000)
Tm (0.0000, 0.0000, 0.6358)
Mg (0.5000, 0.0000, 0.9772)
Mg (0.5000, 0.1196, 0.3347)
Tl (0.5000, 0.1619, 0.7113)
Cd (0.0000, 0.0000, 0.2254)

Calculated values
calculated volume	26.29	A^3/atom
spin magnetization	0.0	μB/cell
E_tot	-54.50	eV/cell

Entry 3:
Material: NdY2Mg3Tl2Cd
Method: DFT, PBE
State: relaxed

Unit cell a=4.6620 b=13.2706 c=7.5551 alpha=90.00 beta=90.00 gamma=90.00
Space group Amm2 (No. 38)
One atom of each set of equivalent atoms:
Nd (0.0000, 0.0000, 0.0000)
Y (0.0000, 0.2125, 0.6371)
Mg (0.5000, 0.0000, 0.6665)
Mg (0.5000, 0.1195, 0.3073)
Tl (0.5000, 0.1695, 0.9244)
Cd (0.0000, 0.0000, 0.4336)

Calculated values
calculated volume	25.97	A^3/atom
spin magnetization	0.0	μB/cell
E_tot	-62.22	eV/cell

Entry 4:
Material: Nd2YMg3Tl2Cd
Method: DFT, PBE
State: relaxed

Unit cell a=4.7028 b=13.1843 c=7.7069 alpha=90.00 beta=90.00 gamma=90.00
Space group Amm2 (No. 38)
One atom of each set of equivalent atoms:
Nd (0.0000, 0.2116, 0.0000)
Y (0.0000, 0.0000, 0.6344)
Mg (0.5000, 0.0000, 0.9747)
Mg (0.5000, 0.1194, 0.3332)
Tl (0.5000, 0.1636, 0.7112)
Cd (0.0000, 0.0000, 0.2196)

Calculated values
calculated volume	26.55	A^3/atom
spin magnetization	0.0	μB/cell
E_tot	-58.83	eV/cell

Entry 5:
Material: MgCdNi2P4
Method: DFT, PBE
State: relaxed

Unit cell a=5.6101 b=5.6101 c=10.1281 alpha=90.00 beta=90.00 gamma=90.00
Space group I-4 (No. 82)
One atom of each set of equivalent atoms:
Mg (0.0000, 0.0000, 0.0000)
Cd (0.0000, 0.5000, 0.7500)
Ni (0.0000, 0.0000, 0.5000)
Ni (0.0000, 0.5000, 0.2500)
P (0.1825, 0.7476, 0.3766)

Calculated values
calculated volume	19.92	A^3/atom
spin magnetization	0.0	μB/cell
E_tot	-70.85	eV/cell

Entry 6:
Material: MgCdNiPb
Method: DFT, PBE
State: relaxed

Unit cell a=6.7888 b=6.7888 c=6.7888 alpha=90.00 beta=90.00 gamma=90.00
Space group F-43m (No. 216)
One atom of each set of equivalent atoms:
Mg (0.0000, 0.0000, 0.0000)
Cd (0.2500, 0.2500, 0.7500)
Ni (0.0000, 0.0000, 0.5000)
Pb (0.2500, 0.2500, 0.2500)

Calculated values
calculated volume	19.56	A^3/atom
spin magnetization	0.0	μB/cell
energy above the most stable polymorph in this dataset	0	kJ/mol of formula units

Entry 7:
Material: Pr2Mg3CdNi2
Method: DFT, PBE
State: relaxed

Unit cell a=10.0573 b=4.1866 c=8.2186 alpha=90.00 beta=90.05 gamma=90.00
Space group Cm (No. 8)
One atom of each set of equivalent atoms:
Pr (0.0000, 0.0000, 0.0000)
Pr (0.1193, 0.0000, 0.4975)
Mg (0.2131, 0.5000, 0.8045)
Mg (0.2166, 0.5000, 0.1970)
Mg (0.4049, 0.0000, 0.6947)
Cd (0.4119, 0.0000, 0.3014)
Ni (0.2823, 0.0000, 0.9983)
Ni (0.3326, 0.5000, 0.5054)

Calculated values
calculated volume	21.63	A^3/atom
spin magnetization	0.0	μB/cell
E_tot	-56.71	eV/cell

Entry 8:
Material: MgCdNiSb
Method: DFT, PBE
State: relaxed

Unit cell a=6.7566 b=6.7566 c=6.7566 alpha=90.00 beta=90.00 gamma=90.00
Space group F-43m (No. 216)
One atom of each set of equivalent atoms:
Mg (0.0000, 0.0000, 0.0000)
Cd (0.2500, 0.2500, 0.7500)
Ni (0.0000, 0.0000, 0.5000)
Sb (0.2500, 0.2500, 0.2500)

Calculated values
calculated volume	19.28	A^3/atom
spin magnetization	0.0	μB/cell
E_tot	-47.52	eV/cell

Entry 9:
Material: MgCdNiTe3
Method: DFT, PBE
State: relaxed

Unit cell a=3.9006 b=13.9783 c=11.5994 alpha=90.00 beta=90.00 gamma=90.00
Space group Cmcm (No. 63)
One atom of each set of equivalent atoms:
Mg (0.0000, 0.1831, 0.2500)
Cd (0.0000, 0.4847, 0.2500)
Ni (0.0000, 0.0000, 0.0000)
Te (0.0000, 0.1680, 0.7500)
Te (0.0000, 0.3876, 0.5520)

Calculated values
calculated volume	26.35	A^3/atom
spin magnetization	0.0	μB/cell
energy above the most stable polymorph in this dataset	17	kJ/mol of formula units

Entry 10:
Material: MgCdNiTe3
Method: DFT, PBE
State: relaxed

Unit cell a=3.9430 b=14.9360 c=10.1386 alpha=90.00 beta=90.00 gamma=90.00
Space group Cmcm (No. 63)
One atom of each set of equivalent atoms:
Mg (0.0000, 0.2491, 0.2500)
Cd (0.0000, 0.0000, 0.0000)
Ni (0.0000, 0.4743, 0.7500)
Te (0.0000, 0.0892, 0.7500)
Te (0.0000, 0.3465, 0.5813)

Calculated values
calculated volume	24.88	A^3/atom
spin magnetization	0.0	μB/cell
energy above the most stable polymorph in this dataset	0	kJ/mol of formula units

Entry 11:
Material: MgZrCdNi
Method: DFT, PBE
State: relaxed

Unit cell a=6.5526 b=6.5526 c=6.5526 alpha=90.00 beta=90.00 gamma=90.00
Space group F-43m (No. 216)
One atom of each set of equivalent atoms:
Mg (0.0000, 0.0000, 0.0000)
Zr (0.2500, 0.2500, 0.7500)
Cd (0.2500, 0.2500, 0.2500)
Ni (0.0000, 0.0000, 0.5000)

Calculated values
calculated volume	17.58	A^3/atom
spin magnetization	0.0	μB/cell
energy above the most stable polymorph in this dataset	7	kJ/mol of formula units

Entry 12:
Material: MgZrCdNi
Method: DFT, PBE
State: relaxed

Unit cell a=6.5753 b=6.5753 c=6.5753 alpha=90.00 beta=90.00 gamma=90.00
Space group F-43m (No. 216)
One atom of each set of equivalent atoms:
Mg (0.0000, 0.0000, 0.0000)
Zr (0.2500, 0.2500, 0.7500)
Cd (0.0000, 0.0000, 0.5000)
Ni (0.2500, 0.2500, 0.2500)

Calculated values
calculated volume	17.77	A^3/atom
spin magnetization	0.0	μB/cell
energy above the most stable polymorph in this dataset	81	kJ/mol of formula units

Entry 13:
Material: MgZrCdNi
Method: DFT, PBE
State: relaxed

Unit cell a=6.6075 b=6.6075 c=6.6075 alpha=90.00 beta=90.00 gamma=90.00
Space group F-43m (No. 216)
One atom of each set of equivalent atoms:
Mg (0.0000, 0.0000, 0.0000)
Zr (0.0000, 0.0000, 0.5000)
Cd (0.2500, 0.2500, 0.7500)
Ni (0.2500, 0.2500, 0.2500)

Calculated values
calculated volume	18.03	A^3/atom
spin magnetization	0.0	μB/cell
energy above the most stable polymorph in this dataset	0	kJ/mol of formula units

Entry 14:
Material: MgNpCd
Method: DFT, PBE
State: relaxed

Unit cell a=6.9732 b=6.9732 c=6.9732 alpha=90.00 beta=90.00 gamma=90.00
Space group F-43m (No. 216)
One atom of each set of equivalent atoms:
Mg (0.0000, 0.0000, 0.0000)
Np (0.2500, 0.2500, 0.2500)
Cd (0.2500, 0.2500, 0.7500)

Calculated values
calculated volume	28.26	A^3/atom
spin magnetization	20.9	μB/cell
E_tot	-51.39	eV/cell

Entry 15:
Material: Mg2CdO3
Method: DFT, PBE
State: relaxed

Unit cell a=3.0751 b=3.0751 c=7.6904 alpha=90.00 beta=90.00 gamma=120.00
Space group P-3m1 (No. 164)
One atom of each set of equivalent atoms:
Mg (0.3333, 0.6667, 0.1548)
Cd (0.0000, 0.0000, 0.5000)
O (0.0000, 0.0000, 0.0000)
O (0.3333, 0.6667, 0.6984)

Calculated values
calculated volume	10.50	A^3/atom
E_tot	-31.48	eV/cell

Entry 16:
Material: MgCd3O4
Method: DFT, PBE
State: relaxed

Unit cell a=3.2437 b=4.6290 c=6.5708 alpha=90.00 beta=90.00 gamma=90.00
Space group Pmm2 (No. 25)
One atom of each set of equivalent atoms:
Mg (0.0000, 0.0000, 0.0000)
Cd (0.0000, 0.0000, 0.5002)
Cd (0.5000, 0.5000, 0.2438)
Cd (0.5000, 0.5000, 0.7546)
O (0.0000, 0.5000, 0.4993)
O (0.0000, 0.5000, 0.9992)
O (0.5000, 0.0000, 0.2218)
O (0.5000, 0.0000, 0.7789)

Calculated values
calculated volume	12.33	A^3/atom
E_tot	-35.12	eV/cell

Entry 17:
Material: MgCd2O3
Method: DFT, PBE
State: relaxed

Unit cell a=3.1982 b=3.1982 c=7.9881 alpha=90.00 beta=90.00 gamma=120.00
Space group P-3m1 (No. 164)
One atom of each set of equivalent atoms:
Mg (0.0000, 0.0000, 0.0000)
Cd (0.3333, 0.6667, 0.6785)
O (0.0000, 0.0000, 0.5000)
O (0.3333, 0.6667, 0.1379)

Calculated values
calculated volume	11.79	A^3/atom
E_tot	-27.42	eV/cell

Entry 18:
Material: Mg2CdO4
Method: DFT, PBE
State: relaxed

Unit cell a=8.7424 b=8.7424 c=8.7424 alpha=90.00 beta=90.00 gamma=90.00
Space group Fd-3m (No. 227, origin choice 2)
One atom of each set of equivalent atoms:
Mg (0.0000, 0.0000, 0.0000)
Cd (0.1250, 0.1250, 0.6250)
O (0.0155, 0.0155, 0.2345)

Calculated values
calculated volume	11.93	A^3/atom
E_tot	-275.94	eV/cell

Entry 19:
Material: Mg3CdO4
Method: DFT, PBE
State: relaxed

Unit cell a=3.0599 b=4.3896 c=6.2018 alpha=90.00 beta=90.00 gamma=90.00
Space group Pmm2 (No. 25)
One atom of each set of equivalent atoms:
Mg (0.0000, 0.0000, 0.0000)
Mg (0.0000, 0.0000, 0.4785)
Mg (0.5000, 0.5000, 0.2388)
Cd (0.5000, 0.5000, 0.7387)
O (0.0000, 0.5000, 0.0174)
O (0.0000, 0.5000, 0.4604)
O (0.5000, 0.0000, 0.2395)
O (0.5000, 0.0000, 0.7397)

Calculated values
calculated volume	10.41	A^3/atom
E_tot	-43.10	eV/cell

Entry 20:
Material: Mg2CdO
Method: DFT, PBE
State: relaxed

Unit cell a=5.3297 b=3.1241 c=7.4629 alpha=90.00 beta=103.63 gamma=90.00
Space group C2/m (No. 12)
One atom of each set of equivalent atoms:
Mg (0.2225, 0.0000, 0.1682)
Cd (0.0000, 0.0000, 0.5000)
O (0.0000, 0.5000, 0.0000)

Calculated values
calculated volume	15.10	A^3/atom
E_tot	-27.73	eV/cell